This record from the Alexandria database describes a relaxed structure of CuTeAu2. The functional is PBEsol.

Geometry as POSCAR:
```
CuTeAu2
1.0
-1.302 2.827 -2.697
-3.495 0.428 2.136
4.179 1.394 2.587
Cu Te Au
1 1 2
direct
0.500 0.500 0.000
0.250 0.750 0.500
0.000 0.000 0.000
0.750 0.250 0.500
```

The volume comes out at 17.80 A^3/atom. For the spin magnetization, the calculation gives 0.0 μB/f.u. The raw formation energy comes out at 0.181 eV/atom.